[1]
Below is crystalline Be2TePd8 at its relaxed geometry, with properties calculated at the PBE level.

Output
The theoretical density comes out at 9.79 Mg/m³. The formation energy from raw total energies comes out at -0.253 eV per atom. The value obtained for the density of states at the Fermi level is 0.66 states/eV/atom. Its total magnetization is 0.0 Bohr magnetons per cell.

Cell lengths 2.908, 5.579, 10.417 Å; angles 90.00, 90.06, 90.00 degrees
Space group P2/m (No. 10)
Asymmetric unit:
Be  0.000  0.245  0.000 (multiplicity 2)
Te  0.500  0.000  0.500 (multiplicity 1)
Pd  0.001  0.258  0.328 (multiplicity 4)
Pd  0.498  0.000  0.867 (multiplicity 2)
Pd  0.499  0.500  0.133 (multiplicity 2)

[2]
Below is crystalline Be2TePd2 at its relaxed geometry, with properties calculated at the PBE level.

Output
The theoretical density comes out at 8.03 Mg/m³. The formation energy from raw total energies comes out at -0.139 eV per atom. The value obtained for the density of states at the Fermi level is 0.23 states/eV/atom. Its total magnetization is 0.0 Bohr magnetons per cell.

Cell lengths 6.925, 6.925, 3.092 Å; angles 90.00, 90.00, 90.00 degrees
Space group P4/mbm (No. 127)
Asymmetric unit:
Be  0.119  0.381  0.000 (multiplicity 4)
Te  0.000  0.000  0.000 (multiplicity 2)
Pd  0.147  0.647  0.500 (multiplicity 4)

[3]
Below is crystalline Be2TePd at its relaxed geometry, with properties calculated at the PBE level.

Output
The theoretical density comes out at 5.39 Mg/m³. The formation energy from raw total energies comes out at 0.109 eV per atom. The value obtained for the density of states at the Fermi level is 0.00 states/eV/atom. Its total magnetization is 0.0 Bohr magnetons per cell.

Cell lengths 5.348, 5.348, 10.868 Å; angles 90.00, 90.00, 90.00 degrees
Space group I-42d (No. 122)
Asymmetric unit:
Be  0.219  0.250  0.125 (multiplicity 8)
Te  0.000  0.000  0.500 (multiplicity 4)
Pd  0.000  0.000  0.000 (multiplicity 4)

[4]
Below is crystalline BeTe2Pd at its relaxed geometry, with properties calculated at the PBE level.

Output
The theoretical density comes out at 5.54 Mg/m³. The formation energy from raw total energies comes out at 0.109 eV per atom. The value obtained for the density of states at the Fermi level is 0.75 states/eV/atom. Its total magnetization is 0.0 Bohr magnetons per cell.

Cell lengths 4.1797, 4.1797, 22.0168 Å; angles 90.00, 90.00, 120.00 degrees
Space group R-3m (No. 166, hexagonal axes)
Asymmetric unit:
Be  0.0000  0.0000  0.0000 (multiplicity 3)
Te  0.0000  0.0000  0.1035 (multiplicity 6)
Pd  0.0000  0.0000  0.5000 (multiplicity 3)

[5]
Below is crystalline BeTePd4 at its relaxed geometry, with properties calculated at the PBE level.

Output
The theoretical density comes out at 9.59 Mg/m³. The formation energy from raw total energies comes out at -0.253 eV per atom. The value obtained for the density of states at the Fermi level is 0.35 states/eV/atom. Its total magnetization is 0.0 Bohr magnetons per cell.

Cell lengths 7.232, 5.625, 4.880 Å; angles 90.00, 101.13, 90.00 degrees
Space group P2_1/c (No. 14)
Asymmetric unit:
Be  0.000  0.000  0.000 (multiplicity 2)
Te  0.500  0.000  0.500 (multiplicity 2)
Pd  0.136  0.130  0.422 (multiplicity 4)
Pd  0.295  0.597  0.450 (multiplicity 4)

[6]
Below is crystalline BeTe2Pd at its relaxed geometry, with properties calculated at the PBE level.

Output
The theoretical density comes out at 6.17 Mg/m³. The formation energy from raw total energies comes out at -0.180 eV per atom. The value obtained for the density of states at the Fermi level is 0.53 states/eV/atom. Its total magnetization is 0.0 Bohr magnetons per cell.

Cell lengths 5.943, 5.943, 11.289 Å; angles 90.00, 90.00, 90.00 degrees
Space group I-42d (No. 122)
Asymmetric unit:
Be  0.000  0.000  0.000 (multiplicity 4)
Te  0.222  0.250  0.125 (multiplicity 8)
Pd  0.000  0.000  0.500 (multiplicity 4)

[7]
Below is crystalline ThBePd2 at its relaxed geometry, with properties calculated at the PBE level.

Output
For the energy relative to the elements, the calculation gives -0.63 eV/atom. The theoretical density comes out at 10.11 Mg/m³. The value obtained for the density of states at the Fermi level is 0.80 states/eV/atom. Its total magnetization is 0.0 Bohr magnetons per cell. The value obtained for the excess energy over the best structure of this formula in the dataset is 74 meV per atom.

Cell lengths 4.1583, 4.1583, 14.9375 Å; angles 90.00, 90.00, 120.00 degrees
Space group R-3m (No. 166, hexagonal axes)
Asymmetric unit:
Th  0.0000  0.0000  0.0000 (multiplicity 3)
Be  0.0000  0.0000  0.5000 (multiplicity 3)
Pd  0.0000  0.0000  0.2136 (multiplicity 6)

[8]
Below is crystalline Th3Be6Pd20 at its relaxed geometry, with properties calculated at the PBE level.

Output
For the energy relative to the elements, the calculation gives -0.69 eV/atom. The theoretical density comes out at 10.80 Mg/m³. The value obtained for the density of states at the Fermi level is 0.27 states/eV/atom. Its total magnetization is 0.0 Bohr magnetons per cell.

Cell lengths 12.097, 12.097, 12.097 Å; angles 90.00, 90.00, 90.00 degrees
Space group Fm-3m (No. 225)
Asymmetric unit:
Th  0.000  0.000  0.000 (multiplicity 4)
Th  0.250  0.250  0.250 (multiplicity 8)
Be  0.000  0.000  0.274 (multiplicity 24)
Pd  0.000  0.170  0.170 (multiplicity 48)
Pd  0.116  0.116  0.384 (multiplicity 32)

[9]
Below is crystalline Th2BePd6 at its relaxed geometry, with properties calculated at the PBE level.

Output
For the energy relative to the elements, the calculation gives -0.82 eV/atom. The theoretical density comes out at 11.31 Mg/m³. The value obtained for the density of states at the Fermi level is 0.40 states/eV/atom. Its total magnetization is 0.0 Bohr magnetons per cell.

Cell lengths 5.7889, 5.7889, 16.8694 Å; angles 90.00, 90.00, 120.00 degrees
Space group R-3m (No. 166, hexagonal axes)
Asymmetric unit:
Th  0.0000  0.0000  0.2366 (multiplicity 6)
Be  0.0000  0.0000  0.5000 (multiplicity 3)
Pd  0.0040  0.5020  0.7372 (multiplicity 18)

[10]
Below is crystalline Th2Be2Pd5 at its relaxed geometry, with properties calculated at the PBE level.

Output
For the energy relative to the elements, the calculation gives -0.70 eV/atom. The theoretical density comes out at 10.75 Mg/m³. The value obtained for the density of states at the Fermi level is 0.52 states/eV/atom. Its total magnetization is 0.0 Bohr magnetons per cell.

Cell lengths 4.140, 4.140, 9.144 Å; angles 90.00, 90.00, 90.00 degrees
Space group P4/mmm (No. 123)
Asymmetric unit:
Th  0.000  0.000  0.000 (multiplicity 1)
Th  0.000  0.000  0.500 (multiplicity 1)
Be  0.500  0.500  0.134 (multiplicity 2)
Pd  0.000  0.500  0.262 (multiplicity 4)
Pd  0.500  0.500  0.500 (multiplicity 1)

[11]
Below is crystalline ThBePd6 at its relaxed geometry, with properties calculated at the PBE level.

Output
For the energy relative to the elements, the calculation gives -0.40 eV/atom. The theoretical density comes out at 10.22 Mg/m³. The value obtained for the density of states at the Fermi level is 0.61 states/eV/atom. Its total magnetization is 0.0 Bohr magnetons per cell.

Cell lengths 5.6688, 5.6688, 15.4047 Å; angles 90.00, 90.00, 120.00 degrees
Space group R-3m (No. 166, hexagonal axes)
Asymmetric unit:
Th  0.0000  0.0000  0.0000 (multiplicity 3)
Be  0.0000  0.0000  0.5000 (multiplicity 3)
Pd  0.0175  0.5088  0.9142 (multiplicity 18)